BeRu | PBE | relaxed

Summary:
DOS at the Fermi energy (states/eV/cell): 13.1
E (eV per atom): -6.374

```
16
Lattice="-4.482 4.774 -1.605 -4.547 -2.913 4.035 1.369 2.383 3.263" Properties=species:S:1:pos:R:3 pbc="T T T"
Ru -2.076 2.530 1.813
Be -7.577 0.930 2.501
Ru -2.774 -0.198 1.309
Ru -2.940 0.448 3.695
Be -3.067 4.572 0.738
Be -4.593 -0.328 4.956
Be -6.882 3.382 3.207
Be -5.233 3.686 -0.495
Be -1.452 0.931 -0.070
Ru -5.584 1.713 3.881
Ru -3.599 2.231 -0.119
Ru -6.255 2.059 1.122
Be -0.778 0.861 2.486
Ru -5.430 -0.371 2.550
Be -3.796 -1.825 2.926
Ru -4.720 3.795 1.999
```